[1]
Crystalline Er5TmZr at its relaxed geometry. Source: Alexandria via LeMat-Bulk, functional GGA-PBE.

Unit cell a=5.8743 b=5.8743 c=12.5772 alpha=90.06 beta=90.06 gamma=76.20
Element x y z (fractional)
Er 0.1062 0.8938 0.7500
Er 0.1740 0.4194 0.6125
Er 0.1743 0.4198 0.8878
Er 0.4194 0.1740 0.1125
Er 0.4198 0.1743 0.3878
Er 0.5802 0.8257 0.6122
Er 0.5806 0.8260 0.8875
Er 0.8257 0.5802 0.1122
Er 0.8260 0.5806 0.3875
Er 0.8938 0.1062 0.2500
Tm 0.3085 0.6915 0.2500
Tm 0.6915 0.3085 0.7500
Zr 0.0000 0.0000 0.0000
Zr 0.0000 0.0000 0.5000

Properties
The total energy is -4.9273 eV/atom. The calculated formation energy comes out at 18.5 kJ per mole of atoms.


[2]
Crystalline Er2Tm4Zr at its relaxed geometry. Source: Alexandria via LeMat-Bulk, functional GGA-PBE.

Unit cell a=19.3708 b=19.3708 c=19.3708 alpha=10.36 beta=10.36 gamma=10.36
Element x y z (fractional)
Er 0.0000 0.0000 0.0000
Er 0.0971 0.0971 0.0971
Tm 0.2850 0.2850 0.2850
Tm 0.3820 0.3820 0.3820
Tm 0.8136 0.8136 0.8136
Tm 0.9024 0.9024 0.9024
Zr 0.1913 0.1913 0.1913

Properties
The value obtained for the excess energy over the best structure of this formula in the dataset is 0.000 eV/atom. The total energy is -5.0566 eV/atom. The calculated formation energy comes out at 2.3 kJ per mole of atoms.


[3]
Crystalline Er7Tm12Zr at its relaxed geometry. Source: Alexandria via LeMat-Bulk, functional GGA-PBE.

Unit cell a=9.7100 b=9.7100 c=9.7100 alpha=109.47 beta=109.47 gamma=109.47
Element x y z (fractional)
Er 0.0000 0.0000 0.5000
Er 0.0000 0.5000 0.0000
Er 0.0000 0.5000 0.5000
Er 0.5000 0.0000 0.0000
Er 0.5000 0.0000 0.5000
Er 0.5000 0.5000 0.0000
Er 0.5000 0.5000 0.5000
Tm 0.0000 0.2183 0.7817
Tm 0.0000 0.7817 0.2183
Tm 0.2183 0.0000 0.7817
Tm 0.2183 0.2183 0.4366
Tm 0.2183 0.4366 0.2183
Tm 0.2183 0.7817 0.0000
Tm 0.4366 0.2183 0.2183
Tm 0.5634 0.7817 0.7817
Tm 0.7817 0.0000 0.2183
Tm 0.7817 0.2183 0.0000
Tm 0.7817 0.5634 0.7817
Tm 0.7817 0.7817 0.5634
Zr 0.0000 0.0000 0.0000

Properties
The value obtained for the excess energy over the best structure of this formula in the dataset is 0.548 eV/atom. The total energy is -3.8909 eV/atom. The calculated formation energy comes out at 78.8 kJ per mole of atoms.


[4]
Crystalline Er4Tm3Zr at its relaxed geometry. Source: Alexandria via LeMat-Bulk, functional GGA-PBE.

Unit cell a=10.9503 b=7.0720 c=6.0983 alpha=90.00 beta=90.00 gamma=90.00
Element x y z (fractional)
Er 0.0000 0.1275 0.0000
Er 0.0000 0.8681 0.4981
Er 0.2447 0.8707 0.8395
Er 0.2553 0.1293 0.3395
Er 0.5000 0.1319 0.9981
Er 0.5000 0.8725 0.5000
Er 0.7447 0.1293 0.3395
Er 0.7553 0.8707 0.8395
Tm 0.0000 0.3836 0.4999
Tm 0.2481 0.3790 0.8299
Tm 0.2519 0.6210 0.3299
Tm 0.5000 0.6164 0.9999
Tm 0.7481 0.6210 0.3299
Tm 0.7519 0.3790 0.8299
Zr 0.0000 0.6243 0.0037
Zr 0.5000 0.3757 0.5037

Properties
The value obtained for the excess energy over the best structure of this formula in the dataset is 0.000 eV/atom. The total energy is -5.0011 eV/atom. The calculated formation energy comes out at 2.5 kJ per mole of atoms.


[5]
Crystalline ErTm2Zr at its relaxed geometry. Source: Alexandria via LeMat-Bulk, functional GGA-PBE.

Unit cell a=4.8092 b=4.8092 c=4.8118 alpha=90.00 beta=90.00 gamma=90.00
Element x y z (fractional)
Er 0.0000 0.0000 0.0000
Tm 0.0000 0.5000 0.5000
Tm 0.5000 0.0000 0.5000
Zr 0.5000 0.5000 0.0000

Properties
The value obtained for the excess energy over the best structure of this formula in the dataset is 0.030 eV/atom. The total energy is -5.4359 eV/atom. The calculated formation energy comes out at 7.5 kJ per mole of atoms.


[6]
Crystalline Er2Tm3Zr at its relaxed geometry. Source: Alexandria via LeMat-Bulk, functional GGA-PBE.

Unit cell a=8.6736 b=8.6736 c=13.7714 alpha=115.85 beta=115.85 gamma=22.24
Element x y z (fractional)
Er 0.1489 0.1489 0.4682
Er 0.3216 0.3216 0.1226
Er 0.6784 0.6784 0.8774
Er 0.8511 0.8511 0.5318
Tm 0.0992 0.0992 0.0291
Tm 0.2466 0.2466 0.2974
Tm 0.4653 0.4653 0.7806
Tm 0.5347 0.5347 0.2194
Tm 0.7534 0.7534 0.7026
Tm 0.9008 0.9008 0.9709
Zr 0.0662 0.0662 0.6476
Zr 0.9338 0.9338 0.3524

Properties
The value obtained for the excess energy over the best structure of this formula in the dataset is 0.122 eV/atom. The total energy is -5.0096 eV/atom. The calculated formation energy comes out at 16.6 kJ per mole of atoms.